[1]
An optimized crystal structure of TcCl3O. Source: Alexandria, functional PBE.

Unit cell a=15.7440 b=6.6189 c=5.9029 alpha=90.00 beta=90.00 gamma=90.00
Positions (direct):
Tc 0.0620 0.5972 0.7500
Tc 0.4380 0.0972 0.2500
Tc 0.9380 0.4028 0.2500
Tc 0.5620 0.9028 0.7500
Cl 0.8857 0.1688 0.9992
Cl 0.6143 0.6688 0.4992
Cl 0.6143 0.6688 0.0008
Cl 0.1143 0.8312 0.4992
Cl 0.1143 0.8312 0.0008
Cl 0.3857 0.3312 0.5008
Cl 0.3857 0.3312 0.9992
Cl 0.8857 0.1688 0.5008
Cl 0.6639 0.1336 0.7500
Cl 0.8361 0.6336 0.2500
Cl 0.3361 0.8664 0.2500
Cl 0.1639 0.3664 0.7500
O 0.0000 0.5000 0.0000
O 0.5000 0.0000 0.5000
O 0.5000 0.0000 0.0000
O 0.0000 0.5000 0.5000

Summary:
Total magnetic moment: 2.35 μB per cell
E above lowest polymorph: 0 meV per atom
Formation energy (no corrections): -333 kJ/mol of formula units
E_tot: -4.864 eV/atom


[2]
An optimized crystal structure of Pu2AsIr. Source: Alexandria, functional PBE.

Unit cell a=3.7302 b=3.7302 c=5.8762 alpha=90.00 beta=90.00 gamma=90.00
Positions (direct):
As 0.5000 0.5000 0.0000
Ir 0.5000 0.5000 0.5000
Pu 0.0000 0.0000 0.7471
Pu 0.0000 0.0000 0.2529

Summary:
Total magnetic moment: 10.33 μB per cell
E above lowest polymorph: 0 meV per atom
Energy relative to the elements: -61.4 kJ per mole of atoms
E_tot: -11.179 eV/atom


[3]
An optimized crystal structure of Ba6Rh2I. Source: Alexandria, functional PBE.

Unit cell a=4.5748 b=7.9771 c=13.4774 alpha=109.50 beta=90.00 gamma=106.66
Positions (direct):
Ba 0.0304 0.0607 0.7799
Ba 0.6740 0.3480 0.0753
Ba 0.3260 0.6520 0.9247
Ba 0.6937 0.3874 0.6271
Ba 0.3063 0.6126 0.3729
Ba 0.9696 0.9393 0.2201
Rh 0.6756 0.3511 0.8323
Rh 0.3244 0.6489 0.1677
I 0.0000 0.0000 0.5000

Summary:
Total magnetic moment: 0.00 μB per cell
E above lowest polymorph: 0 meV per atom
Formation energy (no corrections): -364 kJ/mol of formula units
E_tot: -3.507 eV/atom


[4]
An optimized crystal structure of MnInNi2. Source: Alexandria, functional PBE.

Unit cell a=3.0981 b=3.0201 c=6.7000 alpha=63.12 beta=90.00 gamma=90.00
Positions (direct):
In 0.5000 0.2500 0.2500
Mn 0.5000 0.7500 0.7500
Ni 0.0000 0.0262 0.9732
Ni 0.0000 0.4738 0.5268

Summary:
Total magnetic moment: 4.18 μB per cell
Energy relative to the elements: -5.7 kJ per mole of atoms
E_tot: -5.927 eV/atom


[5]
An optimized crystal structure of NaTl5. Source: Alexandria, functional PBE.

Unit cell a=4.8695 b=4.8907 c=7.8382 alpha=108.18 beta=90.00 gamma=90.00
Positions (direct):
Na 0.0000 0.0000 0.0000
Tl 0.0000 0.6687 0.3373
Tl 0.0000 0.3313 0.6627
Tl 0.5000 0.5000 0.0000
Tl 0.5000 0.1666 0.3331
Tl 0.5000 0.8334 0.6669

Summary:
Total magnetic moment: 0.00 μB per cell
E above lowest polymorph: 0 meV per atom
Energy relative to the elements: -4.8 kJ per mole of atoms
E_tot: -2.241 eV/atom


[6]
An optimized crystal structure of TbPmNp2As4. Source: Alexandria, functional PBE.

Unit cell a=4.1232 b=7.1849 c=7.1895 alpha=109.25 beta=90.00 gamma=90.00
Positions (direct):
Tb 0.0000 0.0000 0.0000
Pm 0.5000 0.5000 0.0000
Np 0.5000 0.0000 0.5000
Np 0.0000 0.5000 0.5000
As 0.5000 0.2488 0.2559
As 0.5000 0.7512 0.7441
As 0.0000 0.2442 0.7417
As 0.0000 0.7558 0.2583

Summary:
Total magnetic moment: 0.05 μB per cell
Energy relative to the elements: -104.0 kJ per mole of atoms
E_tot: -7.810 eV/atom


[7]
An optimized crystal structure of LaNd3Zn4. Source: Alexandria, functional PBE.

Unit cell a=5.2294 b=7.4383 c=10.4569 alpha=90.00 beta=90.00 gamma=90.00
Positions (direct):
Zn 0.5000 0.7542 0.0000
Zn 0.5000 0.7542 0.5000
Zn 0.5000 0.2458 0.0000
Zn 0.5000 0.2458 0.5000
Zn 0.0004 0.7542 0.7500
Zn 0.9996 0.7542 0.2500
Zn 0.9996 0.2458 0.2500
Zn 0.0004 0.2458 0.7500
Nd 0.0000 0.0000 0.0000
Nd 0.0000 0.0000 0.5000
Nd 0.5003 0.0000 0.7500
Nd 0.4997 0.0000 0.2500
Nd 0.5003 0.5000 0.7500
Nd 0.4997 0.5000 0.2500
La 0.0000 0.5000 0.0000
La 0.0000 0.5000 0.5000

Summary:
Total magnetic moment: 0.00 μB per cell
Energy relative to the elements: -29.8 kJ per mole of atoms
E_tot: -3.349 eV/atom


[8]
An optimized crystal structure of Sm3Dy6TmSc2. Source: Alexandria, functional PBE.

Unit cell a=6.0980 b=6.0980 c=11.6068 alpha=95.02 beta=95.02 gamma=119.97
Positions (direct):
Sm 0.1668 0.8332 0.5000
Sm 0.8332 0.1668 0.5000
Sm 0.5000 0.5000 0.5000
Dy 0.9190 0.5834 0.7584
Dy 0.7452 0.7452 0.2416
Dy 0.0810 0.4166 0.2416
Dy 0.5834 0.9190 0.7584
Dy 0.2548 0.2548 0.7584
Dy 0.4166 0.0810 0.2416
Tm 0.0000 0.0000 0.0000
Sc 0.3333 0.6667 0.0000
Sc 0.6667 0.3333 0.0000

Summary:
Total magnetic moment: 0.00 μB per cell
Energy relative to the elements: 3.7 kJ per mole of atoms
E_tot: -4.871 eV/atom